Entry 1:
A relaxed structure of TaNb2Au2, computed with PBE.

abc: 3.382 17.064 3.300
angles: 90.00 90.00 90.00
Space group Cmmm (No. 65)
Unique sites:
Ta (0.000, 0.000, 0.000) x2
Nb (0.000, 0.410, 0.500) x4
Au (0.000, 0.185, 0.000) x4

Computed properties:
- energy of formation from the pure elements (meV/atom) = -30
- E above lowest polymorph (meV/atom) = 0
- E_tot (eV/cell) = -77.39
- density of states at the Fermi level (states/eV/cell) = 5.703

=====

Entry 2:
A relaxed structure of MgRh2Pb, computed with PBE.

abc: 3.920 3.920 8.964
angles: 90.00 90.00 90.00
Space group I-4m2 (No. 119)
Unique sites:
Mg (0.000, 0.000, 0.000) x2
Rh (0.000, 0.000, 0.500) x2
Rh (0.000, 0.500, 0.250) x2
Pb (0.000, 0.500, 0.750) x2

Computed properties:
- energy of formation from the pure elements (meV/atom) = -138
- E_tot (eV/cell) = -41.12
- density of states at the Fermi level (states/eV/cell) = 9.452

=====

Entry 3:
A relaxed structure of La2VIn, computed with PBE.

abc: 8.522 8.522 6.167
angles: 90.00 90.00 90.00
Space group I-42d (No. 122)
Unique sites:
La (0.203, 0.250, 0.125) x8
V (0.000, 0.000, 0.000) x4
In (0.000, 0.000, 0.500) x4

Computed properties:
- energy of formation from the pure elements (meV/atom) = 328
- E_tot (eV/cell) = -81.61
- density of states at the Fermi level (states/eV/cell) = 21.839

=====

Entry 4:
A relaxed structure of DyB2Ru4, computed with PBE.

abc: 3.785 13.083 3.778
angles: 90.00 90.00 90.00
Space group Cmmm (No. 65)
Unique sites:
Dy (0.000, 0.000, 0.000) x2
B (0.000, 0.427, 0.500) x4
Ru (0.000, 0.177, 0.500) x4
Ru (0.000, 0.318, 0.000) x4

Computed properties:
- energy of formation from the pure elements (meV/atom) = -296
- E_tot (eV/cell) = -114.26
- density of states at the Fermi level (states/eV/cell) = 8.170

=====

Entry 5:
A relaxed structure of ScFeTe2, computed with PBE.

abc: 4.1344 4.1344 25.1810
angles: 90.00 90.00 120.00
Space group R-3m (No. 166, hexagonal axes)
Unique sites:
Sc (0.0000, 0.0000, 0.0000) x3
Fe (0.0000, 0.0000, 0.5000) x3
Te (0.0000, 0.0000, 0.3999) x6

Computed properties:
- raw formation energy (eV/f.u.) = -0.83
- E_tot (eV/cell) = -65.71
- density of states at the Fermi level (states/eV/cell) = 13.678

=====

Entry 6:
A relaxed structure of ZnAsPb2, computed with PBE.

abc: 3.686 3.686 7.390
angles: 90.00 90.00 90.00
Space group P4mm (No. 99)
Unique sites:
Zn (0.000, 0.000, 0.000) x1
As (0.500, 0.500, 0.165) x1
Pb (0.000, 0.000, 0.404) x1
Pb (0.500, 0.500, 0.759) x1

Computed properties:
- energy of formation from the pure elements (meV/atom) = 105
- E above lowest polymorph (meV/atom) = 73
- E_tot (eV/cell) = -12.92
- density of states at the Fermi level (states/eV/cell) = 1.620

=====

Entry 7:
A relaxed structure of Ac8SmPb2, computed with PBE.

abc: 16.442 9.463 6.816
angles: 90.00 112.65 90.00
Space group C2/m (No. 12)
Unique sites:
Ac (0.102, 0.201, 0.398) x8
Ac (0.110, 0.000, 0.917) x4
Ac (0.134, 0.500, 0.038) x4
Sm (0.000, 0.500, 0.500) x2
Pb (0.218, 0.500, 0.614) x4

Computed properties:
- energy of formation from the pure elements (meV/atom) = 45
- E_tot (eV/cell) = -89.02
- density of states at the Fermi level (states/eV/cell) = 29.224

=====

Entry 8:
A relaxed structure of AcScInAu, computed with PBE.

abc: 7.593 7.593 7.593
angles: 90.00 90.00 90.00
Space group F-43m (No. 216)
Unique sites:
Ac (0.000, 0.000, 0.000) x4
Sc (0.000, 0.000, 0.500) x4
In (0.250, 0.250, 0.250) x4
Au (0.250, 0.250, 0.750) x4

Computed properties:
- energy of formation from the pure elements (meV/atom) = -443
- E_tot (eV/cell) = -72.91
- density of states at the Fermi level (states/eV/cell) = 16.127

=====

Entry 9:
A relaxed structure of NdTmZnIn, computed with PBE.

abc: 7.438 7.438 7.438
angles: 90.00 90.00 90.00
Space group F-43m (No. 216)
Unique sites:
Nd (0.000, 0.000, 0.000) x4
Tm (0.000, 0.000, 0.500) x4
Zn (0.250, 0.250, 0.750) x4
In (0.250, 0.250, 0.250) x4

Computed properties:
- energy of formation from the pure elements (meV/atom) = -376
- E above lowest polymorph (meV/atom) = 30
- E_tot (eV/cell) = -59.02
- density of states at the Fermi level (states/eV/cell) = 14.973

=====

Entry 10:
A relaxed structure of YMoPb, computed with PBE.

abc: 7.094 7.094 7.094
angles: 90.00 90.00 90.00
Space group F-43m (No. 216)
Unique sites:
Y (0.000, 0.000, 0.000) x4
Mo (0.250, 0.250, 0.250) x4
Pb (0.250, 0.250, 0.750) x4

Computed properties:
- energy of formation from the pure elements (meV/atom) = 1073
- E above lowest polymorph (meV/atom) = 866
- E_tot (eV/cell) = -71.14
- density of states at the Fermi level (states/eV/cell) = 12.478

=====

Entry 11:
A relaxed structure of CaAg2Pd2, computed with PBE.

abc: 3.992 3.992 25.847
angles: 90.00 90.00 90.00
Space group I4/mmm (No. 139)
Unique sites:
Ca (0.000, 0.000, 0.122) x4
Ag (0.000, 0.000, 0.323) x4
Ag (0.000, 0.500, 0.000) x4
Pd (0.000, 0.000, 0.425) x4
Pd (0.000, 0.500, 0.250) x4

Computed properties:
- energy of formation from the pure elements (meV/atom) = -228
- E above lowest polymorph (meV/atom) = 34
- E_tot (eV/cell) = -76.93
- density of states at the Fermi level (states/eV/cell) = 7.598

=====

Entry 12:
A relaxed structure of NaSr2S, computed with PBE.

abc: 8.805 8.805 8.745
angles: 90.00 90.00 90.00
Space group I-42d (No. 122)
Unique sites:
Na (0.000, 0.000, 0.000) x4
Sr (0.169, 0.750, 0.625) x8
S (0.000, 0.000, 0.500) x4

Computed properties:
- raw formation energy (eV/f.u.) = -3.09
- E_tot (eV/cell) = -47.62
- density of states at the Fermi level (states/eV/cell) = 8.388